The following is a PBE calculation of an optimized crystal structure of LaCd2RhSe, from Alexandria. Values from VASP.

The structure in Quantum ESPRESSO input format:
```
&SYSTEM
  ibrav = 0, nat = 5, ntyp = 4
/
ATOMIC_SPECIES
La 138.91 La.upf
Cd 112.41 Cd.upf
Se 78.96 Se.upf
Rh 102.91 Rh.upf
CELL_PARAMETERS angstrom
5.074 0.000 0.000
0.000 5.660 0.000
0.000 0.000 5.074
ATOMIC_POSITIONS angstrom
La 0.000 2.830 0.000
Cd 2.537 0.000 0.000
Se 0.000 0.000 0.000
Cd 0.000 0.000 2.537
Rh 2.537 2.830 2.537
```

Uncorrected energy   -3.234 eV/atom
Raw formation energy   0.28 eV per atom
Fermi-level density of states   3.9 states/eV/cell
SG   P4/mmm, No. 123
Volume   29.15 A^3/atom